This record from Alexandria describes an optimized crystal structure of Li2Cu2F7. The functional is PBE-GGA.

Geometry as POSCAR:
```
Li2Cu2F7
1.0
7.1053 0.0000 0.0000
3.5526 6.1533 0.0000
3.5526 2.0511 5.8014
F Li Cu
14 4 4
Cartesian
3.5526 2.0511 1.4504 F
12.1100 6.9917 3.1655 F
7.1053 5.7789 4.0863 F
12.1100 5.3150 5.5367 F
5.6532 3.2639 4.0863 F
9.2058 5.3150 5.5367 F
0.0000 0.0000 0.0000 F
10.6579 7.8300 5.5367 F
8.5573 4.9406 1.7151 F
10.6579 4.4766 3.1655 F
8.5573 3.2639 4.0863 F
9.2058 6.9917 3.1655 F
5.6532 4.9406 1.7151 F
7.1053 2.4255 1.7151 F
3.5526 2.0511 3.6259 Li
3.5526 4.1022 0.7252 Li
5.3289 1.0256 0.7252 Li
1.7763 1.0256 0.7252 Li
7.1053 4.1022 0.7252 Cu
7.1053 2.0511 3.6259 Cu
8.8816 5.1278 3.6259 Cu
5.3289 5.1278 3.6259 Cu
```

The value obtained for the energy relative to the elements, uncorrected is -1.9496 eV/atom. The energy comes out at -4.233 eV per atom. Its crystal system is cubic. The density of states at the Fermi level is 10.78 states/eV per cell.

***

This record from Alexandria describes an optimized crystal structure of LiCuF3. The functional is PBE-GGA.

Geometry as POSCAR:
```
LiCuF3
1.0
4.9909 -0.0007 -0.0114
0.0023 5.3393 -0.0019
0.0203 0.0021 8.5328
F Cu Li
12 4 4
Cartesian
3.8797 0.7082 4.1590 F
1.5647 1.7105 2.7823 F
1.3544 1.9659 8.4244 F
3.6379 3.3789 8.4249 F
1.1688 4.6343 1.4080 F
1.1738 4.6344 4.1569 F
4.0849 0.8004 7.0443 F
1.3468 1.9654 5.6747 F
3.4269 3.4683 2.7781 F
0.9565 4.3806 7.0490 F
3.8748 0.7078 1.3974 F
3.6300 3.3781 5.6630 F
0.0142 5.2945 0.0350 Cu
2.4952 2.6256 4.2965 Cu
0.0250 5.2948 5.5349 Cu
2.4898 2.6240 1.2639 Cu
4.9082 2.5854 7.0397 Li
2.3505 3.0030 7.0478 Li
0.1701 0.3347 2.7874 Li
2.6052 5.2540 2.7776 Li
```

The value obtained for the energy relative to the elements, uncorrected is -2.0638 eV/atom. The energy comes out at -4.389 eV per atom. Its crystal system is orthorhombic.

***

This record from Alexandria describes an optimized crystal structure of Li2CuF5. The functional is PBE-GGA.

Geometry as POSCAR:
```
Li2CuF5
1.0
5.0444 0.0000 0.0000
0.0000 7.5559 0.0941
0.0000 3.4350 9.2952
Li F Cu
8 20 4
Cartesian
2.5361 10.0613 8.1465 Li
2.5177 5.1058 1.2825 Li
5.0305 8.3438 3.4989 Li
2.5083 0.9296 1.2428 Li
5.0399 4.1676 3.4592 Li
2.5267 5.8851 8.1068 Li
0.0139 2.6472 5.8904 Li
0.0045 6.8233 5.9301 Li
3.4376 4.2199 8.5645 F
3.5184 3.3040 0.8618 F
3.2796 9.6446 6.4594 F
4.0302 9.3143 9.3486 F
0.7791 4.1226 1.6411 F
1.0142 1.6766 0.0407 F
1.5080 3.3941 4.6883 F
4.2870 7.9271 1.8118 F
4.0482 5.0215 5.5094 F
1.7431 5.8401 6.2887 F
0.7574 3.0639 7.5775 F
0.9154 8.4886 5.4725 F
1.7648 1.3464 2.9299 F
1.6068 6.7711 0.8249 F
3.3013 5.1508 3.1006 F
1.5260 7.6870 8.5276 F
4.1290 2.5023 3.9169 F
0.9962 5.9695 3.8800 F
3.5364 7.5968 4.7010 F
4.2653 6.8683 7.7482 F
0.0000 3.7780 0.0471 Cu
2.5222 5.4955 4.6947 Cu
2.5222 1.7175 4.6476 Cu
0.0000 0.0000 0.0000 Cu
```

The value obtained for the energy relative to the elements, uncorrected is -2.1763 eV/atom. The energy comes out at -4.336 eV per atom. Its crystal system is monoclinic. The density of states at the Fermi level is 1.73 states/eV per cell.

***

This record from Alexandria describes an optimized crystal structure of LiCuF3. The functional is PBE-GGA.

Geometry as POSCAR:
```
LiCuF3
1.0
5.0178 0.0000 0.0000
-2.5089 4.3455 0.0000
0.0000 0.0000 14.3915
F Li Cu
18 6 6
Cartesian
1.8027 3.1223 9.5944 F
1.7035 0.2815 9.7139 F
3.1168 2.7296 2.2791 F
0.8054 4.0640 2.5181 F
-0.7062 1.2232 4.7972 F
3.3144 0.2815 11.8734 F
-1.4134 3.0111 7.3153 F
3.9223 1.3345 0.1195 F
1.0955 1.3345 7.0762 F
-0.6079 1.6160 9.4748 F
0.7062 1.2232 2.3986 F
-1.8027 3.1223 11.9929 F
0.6079 1.6160 12.1125 F
1.9010 2.7296 4.9167 F
3.6054 0.0000 7.1958 F
-0.8055 4.0640 4.6777 F
1.4134 3.0111 14.2720 F
1.4124 0.0000 0.0000 F
4.7639 0.1466 13.1922 Li
2.2550 4.1990 1.1993 Li
0.2539 0.1466 8.3951 Li
-2.2550 4.1990 5.9965 Li
2.5089 4.0524 3.5979 Li
0.0000 0.2932 10.7936 Li
2.7039 1.3359 5.9965 Cu
2.5089 1.6737 10.7936 Cu
0.0000 2.6718 3.5979 Cu
0.1950 3.0096 8.3951 Cu
2.3139 1.3359 1.1993 Cu
-0.1950 3.0096 13.1922 Cu
```

The value obtained for the energy relative to the elements, uncorrected is -2.0503 eV/atom. The energy comes out at -4.375 eV per atom. Its crystal system is hexagonal. The density of states at the Fermi level is 2.57 states/eV per cell.

***

This record from Alexandria describes an optimized crystal structure of Li2Cu2F7. The functional is PBE-GGA.

Geometry as POSCAR:
```
Li2Cu2F7
1.0
-5.2684 -0.0610 -0.0105
-0.4946 -6.6175 -0.0035
2.0531 2.6283 7.8700
F Li Cu
14 4 4
Cartesian
-2.1169 -3.2181 1.7656 F
0.7087 0.2823 4.8800 F
-0.5728 0.3339 1.4310 F
-4.4187 -4.3325 2.9760 F
1.1193 -1.7117 7.0054 F
-1.5930 -0.8321 6.0904 F
-0.3050 -1.6880 3.2398 F
-3.4049 -2.3622 4.6162 F
-3.7471 -5.3004 0.3101 F
0.0372 1.2503 7.5459 F
-4.8292 -2.3385 0.8505 F
-0.7172 -3.1758 5.5473 F
-3.1371 -4.3841 6.4250 F
-2.9927 -0.8743 2.3087 F
-4.5680 -5.8954 1.9851 Li
-1.7486 0.7603 7.1771 Li
0.8581 1.8452 5.8709 Li
-1.9613 -4.8104 0.6789 Li
-1.2587 -1.4490 1.4558 Cu
-3.8200 -2.6238 2.6160 Cu
0.1101 -1.4264 5.2400 Cu
-2.4512 -2.6012 6.4002 Cu
```

The value obtained for the energy relative to the elements, uncorrected is -1.9880 eV/atom. The energy comes out at -4.272 eV per atom. Its crystal system is triclinic. The density of states at the Fermi level is 7.57 states/eV per cell.

***

This record from Alexandria describes an optimized crystal structure of LiCu3F10. The functional is PBE-GGA.

Geometry as POSCAR:
```
LiCu3F10
1.0
-3.8628 0.4672 5.8235
-2.0374 -6.5197 -0.8284
5.7149 -2.2909 3.9745
Li F Cu
2 20 6
Cartesian
0.7419 -2.7705 0.7144 Li
2.9355 -6.0402 2.4318 Li
2.2685 -2.1564 1.6777 F
0.9261 -0.9118 4.8990 F
0.5926 -5.5233 3.4386 F
1.5087 -4.1919 5.5487 F
-0.1037 -1.2055 0.0280 F
-1.6940 -4.1515 3.4210 F
1.1896 -1.7452 7.4179 F
0.6980 -2.9986 3.3060 F
1.3667 -6.2468 7.2285 F
-1.5520 -2.0967 1.7412 F
-3.4635 -6.3456 4.7006 F
2.8426 -6.4253 5.0035 F
-1.3749 -6.5982 1.5518 F
-0.7779 -2.8201 5.5310 F
-3.0279 -1.9181 3.9662 F
-0.8833 -5.3448 5.6636 F
3.7811 -7.6052 3.1182 F
3.2782 -1.9978 4.2691 F
-1.9314 0.2336 2.9117 F
1.4090 -6.6543 1.4685 F
-0.0927 -4.1717 4.4848 Cu
-2.9603 0.3581 4.4630 Cu
-0.9025 0.1092 1.3605 Cu
-2.9501 -3.0262 2.4976 Cu
1.9550 -1.0363 3.3478 Cu
-0.1029 -0.7874 6.4502 Cu
```

The value obtained for the energy relative to the elements, uncorrected is -1.4563 eV/atom. The energy comes out at -3.807 eV per atom. Its crystal system is orthorhombic. The density of states at the Fermi level is 14.06 states/eV per cell.

***

Copy entry 1 word for word.
This record from Alexandria describes an optimized crystal structure of Li2Cu2F7. The functional is PBE-GGA.

Geometry as POSCAR:
```
Li2Cu2F7
1.0
7.1053 0.0000 0.0000
3.5526 6.1533 0.0000
3.5526 2.0511 5.8014
F Li Cu
14 4 4
Cartesian
3.5526 2.0511 1.4504 F
12.1100 6.9917 3.1655 F
7.1053 5.7789 4.0863 F
12.1100 5.3150 5.5367 F
5.6532 3.2639 4.0863 F
9.2058 5.3150 5.5367 F
0.0000 0.0000 0.0000 F
10.6579 7.8300 5.5367 F
8.5573 4.9406 1.7151 F
10.6579 4.4766 3.1655 F
8.5573 3.2639 4.0863 F
9.2058 6.9917 3.1655 F
5.6532 4.9406 1.7151 F
7.1053 2.4255 1.7151 F
3.5526 2.0511 3.6259 Li
3.5526 4.1022 0.7252 Li
5.3289 1.0256 0.7252 Li
1.7763 1.0256 0.7252 Li
7.1053 4.1022 0.7252 Cu
7.1053 2.0511 3.6259 Cu
8.8816 5.1278 3.6259 Cu
5.3289 5.1278 3.6259 Cu
```

The value obtained for the energy relative to the elements, uncorrected is -1.9496 eV/atom. The energy comes out at -4.233 eV per atom. Its crystal system is cubic. The density of states at the Fermi level is 10.78 states/eV per cell.

***

Which value of energy does entry 1 give? -4.233 eV per atom

***

Which value of energy relative to the elements, uncorrected does entry 4 give? -2.0503 eV/atom